[1]
6
Lattice="2.5359 1.4641 8.5769 -2.5359 1.4641 8.5769 0.0000 -2.9282 8.5769" Properties=species:S:1:pos:R:3 comment="SrMgS | Alexandria | GGA-PBE | relaxed" n_ef_per_ev_cell=1.95 raw_formation_energy_ev_per_atom=-1.155 m_tot_mub_per_cell=0.000 pbc="T T T"
Sr 0.0000 0.0000 2.6681
Sr 0.0000 0.0000 23.0624
Mg 0.0000 0.0000 8.1453
Mg 0.0000 0.0000 17.5853
S 0.0000 0.0000 5.6411
S 0.0000 0.0000 20.0895

***

[2]
20
Lattice="2.3107 -13.6178 0.0000 2.3107 13.6178 0.0000 0.0000 0.0000 7.5057" Properties=species:S:1:pos:R:3 comment="Ac2Sn5Ir3 | Alexandria | GGA-PBE | relaxed" formation_enthalpy_0k_ev_per_atom=-0.575 n_ef_per_ev_cell=10.91 de_polymorph_ev_per_fu=0.081 m_tot_mub_per_cell=0.000 pbc="T T T"
Ac 2.3107 12.9521 3.7528
Ac 2.3107 4.7239 3.4735
Ac 2.3107 -4.7239 7.2263
Ac 2.3107 -12.9521 0.0000
Sn 2.3107 10.9750 0.9404
Sn 2.3107 8.0032 4.9586
Sn 2.3107 7.8856 1.8855
Sn 2.3107 3.3684 7.4743
Sn 2.3107 1.3824 2.5179
Sn 2.3107 -1.3824 6.2708
Sn 2.3107 -3.3684 3.7215
Sn 2.3107 -7.8856 5.6383
Sn 2.3107 -8.0032 1.2058
Sn 2.3107 -10.9750 4.6933
Ir 2.3107 10.6869 5.6515
Ir 2.3107 6.1046 7.1678
Ir 2.3107 1.4033 5.3487
Ir 2.3107 -1.4033 1.5959
Ir 2.3107 -6.1046 3.4149
Ir 2.3107 -10.6869 1.8986

***

[3]
4
Lattice="0.0000 3.7208 3.7208 3.7208 0.0000 3.7208 3.7208 3.7208 0.0000" Properties=species:S:1:pos:R:3 comment="NdPuInCu | Alexandria | GGA-PBE | relaxed" formation_enthalpy_0k_ev_per_atom=-0.054 n_ef_per_ev_cell=10.74 m_tot_mub_per_cell=6.059 pbc="T T T"
Nd 0.0000 0.0000 0.0000
Pu 3.7208 3.7208 3.7208
In 5.5813 5.5813 5.5813
Cu 1.8604 1.8604 1.8604

***

[4]
4
Lattice="1.4126 0.8156 9.6985 -1.4126 0.8156 9.6985 0.0000 -1.6311 9.6985" Properties=species:S:1:pos:R:3 comment="CaRe2Tc | Alexandria | GGA-PBE | relaxed" formation_enthalpy_0k_ev_per_atom=0.529 n_ef_per_ev_cell=3.22 de_polymorph_ev_per_fu=0.262 m_tot_mub_per_cell=0.000 pbc="T T T"
Ca 0.0000 0.0000 0.0000
Re 0.0000 0.0000 7.0296
Re 0.0000 0.0000 22.0659
Tc 0.0000 0.0000 14.5478

***

[5]
5
Lattice="6.3578 0.0000 0.0000 0.0000 6.3578 0.0000 0.0000 0.0000 5.5227" Properties=species:S:1:pos:R:3 comment="RbBa2MgPd | Alexandria | GGA-PBE | relaxed" formation_enthalpy_0k_ev_per_atom=-0.168 n_ef_per_ev_cell=3.67 m_tot_mub_per_cell=0.000 pbc="T T T"
Rb 0.0000 0.0000 0.0000
Ba 0.0000 3.1789 2.7613
Ba 3.1789 0.0000 2.7613
Mg 3.1789 3.1789 0.0000
Pd 3.1789 3.1789 2.7613

***

[6]
6
Lattice="8.9786 0.0000 0.0000 0.0000 2.0740 3.5836 0.0000 -2.0740 3.5836" Properties=species:S:1:pos:R:3 comment="LaCoAs | Alexandria | GGA-PBE | relaxed" formation_enthalpy_0k_ev_per_atom=-0.678 n_ef_per_ev_cell=6.18 m_tot_mub_per_cell=0.673 pbc="T T T"
La 2.0033 0.0000 0.0000
La 6.9753 0.0000 0.0000
Co 0.0000 0.0000 2.3825
Co 4.4893 0.0000 7.0244
As 0.0000 0.0000 4.7734
As 4.4893 0.0000 2.2630

***

[7]
5
Lattice="4.5186 0.0000 0.0000 0.0000 4.5186 0.0000 0.0000 0.0000 5.3367" Properties=species:S:1:pos:R:3 comment="RbRe2AsP | Alexandria | GGA-PBE | relaxed" formation_enthalpy_0k_ev_per_atom=1.254 n_ef_per_ev_cell=5.68 m_tot_mub_per_cell=0.000 pbc="T T T"
Rb 0.0000 0.0000 0.0000
Re 0.0000 2.2593 2.6683
Re 2.2593 0.0000 2.6683
As 2.2593 2.2593 0.0000
P 2.2593 2.2593 2.6683

***

[8]
8
Lattice="-3.3792 3.3792 5.3619 3.3792 -3.3792 5.3619 3.3792 3.3792 -5.3619" Properties=species:S:1:pos:R:3 comment="Na2InPSe4 | Alexandria | GGA-PBE | relaxed" raw_formation_energy_ev_per_atom=-0.509 m_tot_mub_per_cell=0.000 pbc="T T T"
Na 0.0000 0.0000 0.0000
Na 0.0000 3.3792 2.6809
In 0.0000 0.0000 5.3619
P 3.3792 0.0000 2.6809
Se 1.7279 -1.3956 3.9502
Se 1.9837 1.6513 1.4117
Se 1.6513 4.7748 -1.4117
Se 1.3956 1.7279 6.7735

***

[9]
4
Lattice="-2.0259 2.0259 4.2967 2.0259 -2.0259 4.2967 2.0259 2.0259 -4.2967" Properties=species:S:1:pos:R:3 comment="ZnAsAu2 | Alexandria | GGA-PBE | relaxed" formation_enthalpy_0k_ev_per_atom=0.054 n_ef_per_ev_cell=1.11 de_polymorph_ev_per_fu=0.162 m_tot_mub_per_cell=0.000 pbc="T T T"
Zn 0.0000 0.0000 0.0000
As 0.0000 2.0259 2.1484
Au 2.0259 0.0000 2.1484
Au 0.0000 0.0000 4.2967

***

[10]
16
Lattice="6.7343 0.0000 0.0000 2.8264 8.7669 0.0000 2.8253 -0.2437 8.7699" Properties=species:S:1:pos:R:3 comment="Tb5SmHo2 | Alexandria | GGA-PBE | relaxed" formation_enthalpy_0k_ev_per_atom=0.011 n_ef_per_ev_cell=27.25 de_polymorph_ev_per_fu=0.000 m_tot_mub_per_cell=0.000 pbc="T T T"
Tb 2.6071 1.9186 3.4774
Tb 5.4389 6.1780 7.8568
Tb 4.0294 7.8039 2.0050
Tb 6.4094 7.3613 4.5746
Tb 5.0041 -0.0297 7.4889
Tb 7.3819 8.5529 1.2810
Tb 5.9767 1.1620 4.1952
Tb 8.3566 0.7193 6.7648
Tb 6.9472 2.3452 0.9131
Tb 9.7789 6.6046 5.2925
Sm 4.0281 3.2923 6.4044
Sm 8.3580 5.2309 2.3655
Ho 4.9999 4.4837 3.1027
Ho 3.5964 3.1012 0.1936
Ho 8.7897 5.4220 8.5763
Ho 7.3861 4.0395 5.6672

***

[11]
3
Lattice="-1.3795 1.3795 6.0816 1.3795 -1.3795 6.0816 1.3795 1.3795 -6.0816" Properties=species:S:1:pos:R:3 comment="AgRh2 | Alexandria | GGA-PBE | relaxed" formation_enthalpy_0k_ev_per_atom=0.188 n_ef_per_ev_cell=3.88 de_polymorph_ev_per_fu=0.084 m_tot_mub_per_cell=0.000 pbc="T T T"
Ag 0.0000 0.0000 0.0000
Rh 0.0000 0.0000 3.9275
Rh 0.0000 0.0000 8.2357

***

[12]
15
Lattice="6.7242 -3.8916 0.0000 6.7242 3.8916 0.0000 -4.4503 0.0000 7.9372" Properties=species:S:1:pos:R:3 comment="Rb3Np3RuS8 | Alexandria | GGA-PBE | relaxed" n_ef_per_ev_cell=25.48 raw_formation_energy_ev_per_atom=-1.135 m_tot_mub_per_cell=3.454 pbc="T T T"
Rb 0.0000 0.0000 0.0000
Rb 3.3621 1.9458 0.0000
Rb 3.3621 -1.9458 0.0000
Np 1.1370 1.9458 3.9686
Np 1.1370 -1.9458 3.9686
Np 4.4991 0.0000 3.9686
Ru -2.2251 0.0000 3.9686
S -0.1283 0.0000 5.3870
S 3.4688 2.0817 5.3932
S 5.5294 2.0817 2.5441
S 2.2441 0.0000 2.4014
S 6.7540 0.0000 5.5359
S 3.4688 -2.0817 5.3932
S 5.5294 -2.0817 2.5441
S 9.1265 0.0000 2.5502